[1]
This record from Alexandria via LeMat-Bulk describes crystalline TbEr2ThAs4 at its relaxed geometry. The functional is PBE.

The structure in CIF format:
```
data_TbEr2ThAs4
_space_group_name_H-M_alt 'P 1'
_space_group_IT_number 1
_space_group_name_Hall 'P 1'
_cell_length_a 4.1497
_cell_length_b 7.1605
_cell_length_c 7.1718
_cell_angle_alpha 70.51
_cell_angle_beta 90.00
_cell_angle_gamma 90.00
loop_
_atom_site_label
_atom_site_fract_x
_atom_site_fract_y
_atom_site_fract_z
_atom_site_occupancy
As1 0.5000 0.7554 0.2505 1
Er1 0.0000 0.0000 0.0000 1
As2 0.0000 0.7582 0.7443 1
As3 0.0000 0.2418 0.2557 1
Er2 0.5000 0.0000 0.5000 1
Th1 0.5000 0.5000 0.0000 1
Tb1 0.0000 0.5000 0.5000 1
As4 0.5000 0.2446 0.7495 1
```

Properties
uncorrected energy: -6.48 eV/atom
E_form: -34.8 kcal/mol of atoms
density of states at the Fermi level: 1.5 states/eV/f.u.

=====

[2]
This record from Alexandria via LeMat-Bulk describes crystalline Ho3Tm3Ni4 at its relaxed geometry. The functional is PBE.

The structure in CIF format:
```
data_Ho3Tm3Ni4
_space_group_name_H-M_alt 'P 1'
_space_group_IT_number 1
_space_group_name_Hall 'P 1'
_cell_length_a 3.8666
_cell_length_b 7.4155
_cell_length_c 7.4155
_cell_angle_alpha 90.05
_cell_angle_beta 90.00
_cell_angle_gamma 90.00
loop_
_atom_site_label
_atom_site_fract_x
_atom_site_fract_y
_atom_site_fract_z
_atom_site_occupancy
Ho1 0.5000 0.1634 0.8366 1
Ni1 0.0000 0.8729 0.8760 1
Ni2 0.0000 0.3773 0.6227 1
Tm1 0.5000 0.8346 0.1654 1
Tm2 0.5000 0.3364 0.3352 1
Ho2 0.0000 0.0004 0.4993 1
Tm3 0.5000 0.6648 0.6636 1
Ho3 0.0000 0.5007 0.9996 1
Ni3 0.0000 0.6255 0.3745 1
Ni4 0.0000 0.1240 0.1271 1
```

Properties
uncorrected energy: -5.39 eV/atom
E_form: -8.3 kcal/mol of atoms
density of states at the Fermi level: 8.3 states/eV/f.u.

=====

[3]
This record from Alexandria via LeMat-Bulk describes crystalline Sm2Dy3Ga2 at its relaxed geometry. The functional is PBE.

The structure in CIF format:
```
data_Sm2Dy3Ga2
_space_group_name_H-M_alt 'P 1'
_space_group_IT_number 1
_space_group_name_Hall 'P 1'
_cell_length_a 4.1761
_cell_length_b 6.3883
_cell_length_c 8.6054
_cell_angle_alpha 112.05
_cell_angle_beta 90.00
_cell_angle_gamma 109.08
loop_
_atom_site_label
_atom_site_fract_x
_atom_site_fract_y
_atom_site_fract_z
_atom_site_occupancy
Ga1 0.8294 0.6588 0.7870 1
Ga2 0.1706 0.3412 0.2130 1
Sm1 0.8501 0.7003 0.1914 1
Dy1 0.6211 0.2421 0.4381 1
Sm2 0.1499 0.2997 0.8086 1
Dy2 0.3789 0.7579 0.5619 1
Dy3 0.5000 0.0000 0.0000 1
```

Properties
uncorrected energy: -4.50 eV/atom
E_form: -7.2 kcal/mol of atoms
density of states at the Fermi level: 7.8 states/eV/f.u.

=====

[4]
This record from Alexandria via LeMat-Bulk describes crystalline ZrRhBr2 at its relaxed geometry. The functional is PBE.

The structure in CIF format:
```
data_ZrRhBr2
_space_group_name_H-M_alt 'P 1'
_space_group_IT_number 1
_space_group_name_Hall 'P 1'
_cell_length_a 6.2187
_cell_length_b 6.2187
_cell_length_c 6.8999
_cell_angle_alpha 63.22
_cell_angle_beta 63.22
_cell_angle_gamma 90.00
loop_
_atom_site_label
_atom_site_fract_x
_atom_site_fract_y
_atom_site_fract_z
_atom_site_occupancy
Zr1 0.2500 0.7500 0.5000 1
Rh1 0.7500 0.2500 0.5000 1
Br1 0.6430 0.1250 0.2500 1
Br2 0.8750 0.8930 0.7500 1
Zr2 0.5000 0.5000 0.0000 1
Rh2 0.0000 0.0000 0.0000 1
Br3 0.1070 0.6250 0.2500 1
Br4 0.3750 0.3570 0.7500 1
```

Properties
uncorrected energy: -4.63 eV/atom
formation energy without anion corrections: 177 meV/atom
density of states at the Fermi level: 2.5 states/eV/f.u.

=====

[5]
This record from Alexandria via LeMat-Bulk describes crystalline Cs2YPtF6 at its relaxed geometry. The functional is PBE.

The structure in CIF format:
```
data_Cs2YPtF6
_space_group_name_H-M_alt 'P 1'
_space_group_IT_number 1
_space_group_name_Hall 'P 1'
_cell_length_a 7.1194
_cell_length_b 7.1194
_cell_length_c 6.6112
_cell_angle_alpha 57.42
_cell_angle_beta 57.42
_cell_angle_gamma 90.00
loop_
_atom_site_label
_atom_site_fract_x
_atom_site_fract_y
_atom_site_fract_z
_atom_site_occupancy
F1 0.7153 0.7153 0.0000 1
F2 0.7593 0.7593 0.4814 1
F3 0.2847 0.2847 0.0000 1
Cs1 0.7500 0.2500 0.5000 1
F4 0.2407 0.2407 0.5186 1
F5 0.7153 0.2847 0.0000 1
Cs2 0.2500 0.7500 0.5000 1
F6 0.2847 0.7153 0.0000 1
Y1 0.5000 0.5000 0.0000 1
Pt1 0.0000 0.0000 0.0000 1
```

Properties
uncorrected energy: -5.20 eV/atom
formation energy without anion corrections: -2651 meV/atom
density of states at the Fermi level: 2.8 states/eV/f.u.

=====

[6]
This record from Alexandria via LeMat-Bulk describes crystalline La6PrTm8 at its relaxed geometry. The functional is PBE.

The structure in CIF format:
```
data_La6PrTm8
_space_group_name_H-M_alt 'P 1'
_space_group_IT_number 1
_space_group_name_Hall 'P 1'
_cell_length_a 9.0318
_cell_length_b 9.0318
_cell_length_c 8.8237
_cell_angle_alpha 59.22
_cell_angle_beta 59.22
_cell_angle_gamma 60.00
loop_
_atom_site_label
_atom_site_fract_x
_atom_site_fract_y
_atom_site_fract_z
_atom_site_occupancy
Tm1 0.6996 0.1145 0.4183 1
Tm2 0.4236 0.4236 0.7290 1
Pr1 0.0000 0.0000 0.0000 1
La1 0.4671 0.9093 0.8581 1
La2 0.0907 0.2344 0.1419 1
Tm3 0.8855 0.2324 0.5817 1
Tm4 0.7676 0.6996 0.4183 1
La3 0.2344 0.5329 0.1419 1
Tm5 0.2324 0.3004 0.5817 1
La4 0.9093 0.7656 0.8581 1
La5 0.5329 0.0907 0.1419 1
Tm6 0.3004 0.8855 0.5817 1
Tm7 0.1145 0.7676 0.4183 1
La6 0.7656 0.4671 0.8581 1
Tm8 0.5764 0.5764 0.2710 1
```

Properties
uncorrected energy: -4.55 eV/atom
E_form: 2.8 kcal/mol of atoms
density of states at the Fermi level: 21.9 states/eV/f.u.

=====

[7]
This record from Alexandria via LeMat-Bulk describes crystalline TlCoCl2 at its relaxed geometry. The functional is PBE.

The structure in CIF format:
```
data_TlCoCl2
_space_group_name_H-M_alt 'P 1'
_space_group_IT_number 1
_space_group_name_Hall 'P 1'
_cell_length_a 5.0527
_cell_length_b 5.0527
_cell_length_c 5.0527
_cell_angle_alpha 60.00
_cell_angle_beta 60.00
_cell_angle_gamma 60.00
loop_
_atom_site_label
_atom_site_fract_x
_atom_site_fract_y
_atom_site_fract_z
_atom_site_occupancy
Tl1 0.7500 0.7500 0.7500 1
Cl1 0.0000 0.0000 0.0000 1
Co1 0.5000 0.5000 0.5000 1
Cl2 0.2500 0.2500 0.2500 1
```

Properties
uncorrected energy: -2.99 eV/atom
formation energy without anion corrections: 298 meV/atom
density of states at the Fermi level: 0.3 states/eV/f.u.

=====

[8]
This record from Alexandria via LeMat-Bulk describes crystalline K2Hg2Au at its relaxed geometry. The functional is PBE.

The structure in CIF format:
```
data_K2Hg2Au
_space_group_name_H-M_alt 'P 1'
_space_group_IT_number 1
_space_group_name_Hall 'P 1'
_cell_length_a 5.2693
_cell_length_b 6.5615
_cell_length_c 10.7762
_cell_angle_alpha 109.16
_cell_angle_beta 90.00
_cell_angle_gamma 113.67
loop_
_atom_site_label
_atom_site_fract_x
_atom_site_fract_y
_atom_site_fract_z
_atom_site_occupancy
K1 0.3256 0.6511 0.9547 1
Hg1 0.1046 0.2093 0.6418 1
Hg2 0.0203 0.0405 0.1491 1
K2 0.3910 0.7820 0.6061 1
K3 0.6744 0.3489 0.0453 1
Au1 0.2784 0.5567 0.2702 1
K4 0.6090 0.2180 0.3939 1
Au2 0.7216 0.4433 0.7298 1
Hg3 0.8954 0.7907 0.3582 1
Hg4 0.9797 0.9595 0.8509 1
```

Properties
uncorrected energy: -1.50 eV/atom
E_form: -6.5 kcal/mol of atoms
density of states at the Fermi level: 1.2 states/eV/f.u.

=====

[9]
This record from Alexandria via LeMat-Bulk describes crystalline InHS3 at its relaxed geometry. The functional is PBE.

The structure in CIF format:
```
data_InHS3
_space_group_name_H-M_alt 'P 1'
_space_group_IT_number 1
_space_group_name_Hall 'P 1'
_cell_length_a 4.2468
_cell_length_b 4.2468
_cell_length_c 4.2468
_cell_angle_alpha 90.00
_cell_angle_beta 90.00
_cell_angle_gamma 90.00
loop_
_atom_site_label
_atom_site_fract_x
_atom_site_fract_y
_atom_site_fract_z
_atom_site_occupancy
H1 0.0000 0.0000 0.0000 1
S1 0.0000 0.5000 0.0000 1
In1 0.5000 0.5000 0.5000 1
S2 0.5000 0.0000 0.0000 1
S3 0.0000 0.0000 0.5000 1
```

Properties
uncorrected energy: -2.93 eV/atom
density of states at the Fermi level: 4.5 states/eV/f.u.